Entry a
# Ba2Pd2Se

A relaxed Ba2Pd2Se crystal (GGA-PBE, the Alexandria database). Values from VASP.

Values from the calculation:
The space-group type is No. 127.

```
&SYSTEM
  ibrav = 0, nat = 10, ntyp = 3
/
ATOMIC_SPECIES
Se 78.96 Se.upf
Ba 137.33 Ba.upf
Pd 106.42 Pd.upf
CELL_PARAMETERS angstrom
8.0440 0.0000 0.0000
0.0000 8.0440 0.0000
0.0000 0.0000 4.3335
ATOMIC_POSITIONS crystal
Se 0.0000 0.0000 0.0000
Ba 0.1909 0.6909 0.5000
Ba 0.6909 0.8091 0.5000
Se 0.5000 0.5000 0.0000
Pd 0.8836 0.6164 0.0000
Ba 0.8091 0.3091 0.5000
Pd 0.3836 0.8836 0.0000
Pd 0.6164 0.1164 0.0000
Ba 0.3091 0.1909 0.5000
Pd 0.1164 0.3836 0.0000
```

Entry b
# Ba2Pd2Se

A relaxed Ba2Pd2Se crystal (GGA-PBE, the Alexandria database). Values from VASP.

Values from the calculation:
The space-group type is No. 127.

```
&SYSTEM
  ibrav = 0, nat = 10, ntyp = 3
/
ATOMIC_SPECIES
Pd 106.42 Pd.upf
Se 78.96 Se.upf
Ba 137.33 Ba.upf
CELL_PARAMETERS angstrom
-5.3809 5.3621 -4.1727
-0.4837 -5.6116 -6.5874
-3.4672 -1.9732 1.9355
ATOMIC_POSITIONS crystal
Pd 0.8941 0.3941 0.5000
Se 0.5000 0.5000 0.0000
Se 0.0000 0.0000 0.0000
Ba 0.3205 0.8205 0.0000
Pd 0.1059 0.6059 0.5000
Pd 0.6059 0.8941 0.5000
Ba 0.6795 0.1795 0.0000
Ba 0.1795 0.3205 0.0000
Pd 0.3941 0.1059 0.5000
Ba 0.8205 0.6795 0.0000
```

Entry c
# Ba2Pd2Se

A relaxed Ba2Pd2Se crystal (GGA-PBE, the Alexandria database). Values from VASP.

Values from the calculation:
The space-group type is No. 139.

```
&SYSTEM
  ibrav = 0, nat = 5, ntyp = 3
/
ATOMIC_SPECIES
Se 78.96 Se.upf
Ba 137.33 Ba.upf
Pd 106.42 Pd.upf
CELL_PARAMETERS angstrom
-4.3836 1.7717 3.8635
-1.8750 -5.7870 0.5263
-0.6471 -2.5338 5.2527
ATOMIC_POSITIONS crystal
Se 0.0000 0.0000 0.0000
Ba 0.7500 0.2500 0.5000
Ba 0.2500 0.7500 0.5000
Pd 0.6640 0.6640 0.6720
Pd 0.3360 0.3360 0.3280
```

How do the structures above rank in stability at the extremes? entry c comes first and entry b comes last.